No. 1
Computed, not measured: a relaxed structure of ScFeTc at the GGA-PBE level of DFT.

abc: 4.2613 4.2613 4.2613
angles: 60.00 60.00 60.00
Fractional positions:
1 Sc 0.0000 0.0000 0.0000
2 Fe 0.7500 0.7500 0.7500
3 Tc 0.2500 0.2500 0.2500

Computed properties:
- total magnetic moment (μB/cell) = 3.6
- electronic total energy (eV per atom) = -7.299
- formation energy from the elements (eV/f.u.) = 3.3
- space-group type = No. 216
- E above lowest polymorph (eV/atom) = 1.3401

---

No. 2
Computed, not measured: a relaxed structure of Sc2FeTc at the GGA-PBE level of DFT.

abc: 5.3566 5.3566 5.3566
angles: 138.07 138.07 60.79
Fractional positions:
1 Sc 0.0000 0.0000 0.0000
2 Sc 0.7500 0.2500 0.5000
3 Fe 0.5000 0.5000 0.0000
4 Tc 0.2500 0.7500 0.5000

Computed properties:
- total magnetic moment (μB/cell) = 1.9
- electronic total energy (eV per atom) = -7.792
- formation energy from the elements (eV/f.u.) = 0.3
- space-group type = No. 119

---

No. 3
Computed, not measured: a relaxed structure of ScFe2Tc at the GGA-PBE level of DFT.

abc: 5.5299 5.5299 5.5299
angles: 102.89 102.89 123.62
Fractional positions:
1 Sc 0.0000 0.0000 0.0000
2 Sc 0.7500 0.2500 0.5000
3 Fe 0.1559 0.1250 0.5309
4 Fe 0.3750 0.8441 0.9691
5 Fe 0.5941 0.6250 0.4691
6 Fe 0.8750 0.4059 0.0309
7 Tc 0.2500 0.7500 0.5000
8 Tc 0.5000 0.5000 0.0000

Computed properties:
- total magnetic moment (μB/cell) = 8.2
- electronic total energy (eV per atom) = -7.986
- formation energy from the elements (eV/f.u.) = 1.7
- space-group type = No. 122
- E above lowest polymorph (eV/atom) = 0.4069

---

No. 4
Computed, not measured: a relaxed structure of ScFeTc at the GGA-PBE level of DFT.

abc: 4.1343 4.1343 4.1343
angles: 60.00 60.00 60.00
Fractional positions:
1 Sc 0.0000 0.0000 0.0000
2 Fe 0.7500 0.7500 0.7500
3 Tc 0.5000 0.5000 0.5000

Computed properties:
- total magnetic moment (μB/cell) = 0.0
- electronic total energy (eV per atom) = -8.138
- formation energy from the elements (eV/f.u.) = 0.7
- space-group type = No. 216
- E above lowest polymorph (eV/atom) = 0.5005

---

No. 5
Computed, not measured: a relaxed structure of Sc2FeTc at the GGA-PBE level of DFT.

abc: 3.8105 5.2077 5.2077
angles: 46.59 90.00 90.00
Fractional positions:
1 Sc 0.0000 0.0000 0.0000
2 Sc 0.5000 0.2928 0.2928
3 Fe 0.5000 0.5833 0.5833
4 Tc 0.0000 0.7021 0.7021

Computed properties:
- total magnetic moment (μB/cell) = 0.0
- electronic total energy (eV per atom) = -7.876
- formation energy from the elements (eV/f.u.) = 0.0
- space-group type = No. 38

---

No. 6
Computed, not measured: a relaxed structure of Sc2FeTc at the GGA-PBE level of DFT.

abc: 2.9222 2.9222 8.1785
angles: 90.00 90.00 108.57
Fractional positions:
1 Sc 0.0000 0.0000 0.2404
2 Sc 0.0000 0.0000 0.7596
3 Fe 0.5000 0.5000 0.0000
4 Tc 0.5000 0.5000 0.5000

Computed properties:
- total magnetic moment (μB/cell) = 1.1
- electronic total energy (eV per atom) = -7.817
- formation energy from the elements (eV/f.u.) = 0.2
- space-group type = No. 65

---

No. 7
Computed, not measured: a relaxed structure of ScFe2Tc at the GGA-PBE level of DFT.

abc: 2.7189 4.2800 4.9602
angles: 90.00 99.40 90.00
Fractional positions:
1 Sc 0.0000 0.0000 0.0000
2 Fe 0.3204 0.5000 0.7684
3 Fe 0.4835 0.0000 0.5084
4 Tc 0.7457 0.5000 0.3010

Computed properties:
- total magnetic moment (μB/cell) = 3.8
- electronic total energy (eV per atom) = -8.316
- formation energy from the elements (eV/f.u.) = 0.4
- space-group type = No. 6
- E above lowest polymorph (eV/atom) = 0.0771

---

No. 8
Computed, not measured: a relaxed structure of Sc2FeTc3 at the GGA-PBE level of DFT.

abc: 5.2218 5.2218 5.2218
angles: 59.25 59.25 59.25
Fractional positions:
1 Sc 0.1243 0.1243 0.1243
2 Sc 0.8757 0.8757 0.8757
3 Fe 0.5000 0.5000 0.5000
4 Tc 0.0000 0.5000 0.5000
5 Tc 0.5000 0.0000 0.5000
6 Tc 0.5000 0.5000 0.0000

Computed properties:
- total magnetic moment (μB/cell) = 2.2
- electronic total energy (eV per atom) = -8.973
- formation energy from the elements (eV/f.u.) = -1.6
- space-group type = No. 166

---

No. 9
Computed, not measured: a relaxed structure of Sc2FeTc at the GGA-PBE level of DFT.

abc: 2.9358 2.9358 8.1892
angles: 90.00 90.00 90.00
Fractional positions:
1 Sc 0.0000 0.0000 0.0000
2 Sc 0.5000 0.5000 0.3592
3 Fe 0.5000 0.5000 0.7738
4 Tc 0.0000 0.0000 0.6052

Computed properties:
- total magnetic moment (μB/cell) = 0.5
- electronic total energy (eV per atom) = -7.888
- formation energy from the elements (eV/f.u.) = -0.1
- space-group type = No. 99

---

No. 10
Computed, not measured: a relaxed structure of ScFe2Tc at the GGA-PBE level of DFT.

abc: 4.3579 4.3579 2.9374
angles: 90.00 90.00 90.00
Fractional positions:
1 Sc 0.0000 0.0000 0.0000
2 Fe 0.0000 0.5000 0.5000
3 Fe 0.5000 0.0000 0.5000
4 Tc 0.5000 0.5000 0.0000

Computed properties:
- total magnetic moment (μB/cell) = 3.0
- electronic total energy (eV per atom) = -8.348
- formation energy from the elements (eV/f.u.) = 0.2
- space-group type = No. 123
- E above lowest polymorph (eV/atom) = 0.0449

---

No. 11
Computed, not measured: a relaxed structure of Sc2FeTc at the GGA-PBE level of DFT.

abc: 2.8981 4.1378 5.6440
angles: 90.00 100.15 90.00
Fractional positions:
1 Sc 0.2406 0.0000 0.2496
2 Sc 0.7594 0.0000 0.7504
3 Fe 0.5000 0.5000 0.0000
4 Tc 0.0000 0.5000 0.5000

Computed properties:
- total magnetic moment (μB/cell) = 1.3
- electronic total energy (eV per atom) = -7.789
- formation energy from the elements (eV/f.u.) = 0.3
- space-group type = No. 10

---

No. 12
Computed, not measured: a relaxed structure of ScFe2Tc at the GGA-PBE level of DFT.

abc: 4.9951 4.9951 4.9951
angles: 136.87 136.87 62.63
Fractional positions:
1 Sc 0.0000 0.0000 0.0000
2 Fe 0.5000 0.5000 0.0000
3 Fe 0.7500 0.2500 0.5000
4 Tc 0.2500 0.7500 0.5000

Computed properties:
- total magnetic moment (μB/cell) = 4.1
- electronic total energy (eV per atom) = -8.214
- formation energy from the elements (eV/f.u.) = 0.8
- space-group type = No. 119
- E above lowest polymorph (eV/atom) = 0.1793